No. 1
This record from the Alexandria database describes a geometry-optimized AlOs2Pt structure. The functional is GGA-PBEsol.

Lattice parameters (Å, degrees): 2.758 2.758 8.738 80.92 80.92 60.00
Positions (direct):
Os1 0.999 0.999 0.002
Os2 0.747 0.747 0.759
Al1 0.250 0.250 0.249
Pt1 0.504 0.504 0.489

Computed properties:
The symmetry is R3m (160). For the energy relative to the elements, the calculation gives -0.181 eV per atom.

No. 2
This record from the Alexandria database describes a geometry-optimized Pb3WS structure. The functional is GGA-PBEsol.

Lattice parameters (Å, degrees): 5.302 5.302 5.302 90.00 90.00 90.00
Positions (direct):
W1 0.500 0.500 0.500
S1 0.000 0.000 0.000
Pb1 0.000 0.500 0.000
Pb2 0.500 0.000 0.000
Pb3 0.000 0.000 0.500

Computed properties:
The symmetry is Pm-3m (221). The energy relative to the elements, uncorrected is 1367.0 meV per atom.

No. 3
This record from the Alexandria database describes a geometry-optimized MgCdPCl2 structure. The functional is GGA-PBEsol.

Lattice parameters (Å, degrees): 4.617 4.617 5.525 90.00 90.00 90.00
Positions (direct):
P1 0.000 0.000 0.500
Cl1 0.500 0.000 0.000
Cd1 0.500 0.500 0.500
Mg1 0.000 0.000 0.000
Cl2 0.000 0.500 0.000

Computed properties:
The symmetry is P4/mmm (123). The energy relative to the elements, uncorrected is -336.2 meV per atom.

No. 4
This record from the Alexandria database describes a geometry-optimized SrTlS2N structure. The functional is GGA-PBEsol.

Lattice parameters (Å, degrees): 4.266 5.201 5.201 90.00 90.00 90.00
Positions (direct):
S1 0.000 0.500 0.000
Tl1 0.000 0.000 0.000
Sr1 0.500 0.500 0.500
S2 0.000 0.000 0.500
N1 0.500 0.000 0.000

Computed properties:
The symmetry is P4/mmm (123). The energy relative to the elements, uncorrected is 58.1 meV per atom.

No. 5
This record from the Alexandria database describes a geometry-optimized Li2CoSiO4 structure. The functional is GGA-PBEsol.

Lattice parameters (Å, degrees): 5.235 5.235 6.189 91.00 91.00 93.02
Positions (direct):
Co1 0.811 0.189 0.500
O1 0.806 0.806 0.036
Li1 0.685 0.685 0.761
O2 0.809 0.809 0.475
Li2 0.824 0.176 0.000
O3 0.191 0.191 0.525
Li3 0.176 0.824 0.000
Si1 0.679 0.679 0.246
O4 0.634 0.293 0.748
Li4 0.315 0.315 0.239
O5 0.194 0.194 0.964
O6 0.707 0.366 0.252
O7 0.293 0.634 0.748
O8 0.366 0.707 0.252
Co2 0.189 0.811 0.500
Si2 0.321 0.321 0.754

Computed properties:
The symmetry is C2/m (12). The calculation puts the energy above the most stable polymorph in this dataset at 0.20 eV/f.u. The energy relative to the elements, uncorrected is -2028.6 meV per atom.

No. 6
This record from the Alexandria database describes a geometry-optimized ZnSb2TeAs structure. The functional is GGA-PBEsol.

Lattice parameters (Å, degrees): 5.361 5.361 5.277 90.00 90.00 90.00
Positions (direct):
Zn1 0.500 0.500 0.500
As1 0.000 0.000 0.000
Sb1 0.000 0.500 0.000
Te1 0.000 0.000 0.500
Sb2 0.500 0.000 0.000

Computed properties:
The symmetry is P4/mmm (123). The energy relative to the elements, uncorrected is 732.9 meV per atom.